(1)
VASP calculation (PBE) on crystalline KGaSi2S6 at its relaxed geometry.

a = 9.1757 Å, b = 9.1757 Å, c = 6.5791 Å
α = 104.01°, β = 104.01°, γ = 94.81°
Positions (direct):
K: 0.1132 0.8868 0.7500
K: 0.8868 0.1132 0.2500
Ga: 0.2292 0.7708 0.2500
Ga: 0.7708 0.2292 0.7500
Si: 0.2266 0.3753 0.8360
Si: 0.3753 0.2266 0.3360
Si: 0.6247 0.7734 0.6640
Si: 0.7734 0.6247 0.1640
S: 0.0294 0.2092 0.7325
S: 0.1695 0.6001 0.9184
S: 0.2092 0.0294 0.2325
S: 0.3103 0.4075 0.5567
S: 0.3999 0.8305 0.5816
S: 0.4075 0.3103 0.0567
S: 0.5925 0.6897 0.9433
S: 0.6001 0.1695 0.4184
S: 0.6897 0.5925 0.4433
S: 0.7908 0.9706 0.7675
S: 0.8305 0.3999 0.0816
S: 0.9706 0.7908 0.2675

**Formation energy without anion corrections**: -62.62 kJ per mole of atoms



(2)
VASP calculation (PBE) on crystalline LaInRhO6 at its relaxed geometry.

a = 5.4480 Å, b = 5.4480 Å, c = 5.1047 Å
α = 90.00°, β = 90.00°, γ = 120.00°
Positions (direct):
La: 0.0000 0.0000 0.0000
In: 0.3333 0.6667 0.5000
Rh: 0.6667 0.3333 0.5000
O: 0.3774 0.0299 0.7190
O: 0.3774 0.3476 0.2810
O: 0.6524 0.0299 0.2810
O: 0.6524 0.6226 0.7190
O: 0.9701 0.3476 0.7190
O: 0.9701 0.6226 0.2810

**Formation energy without anion corrections**: -148.03 kJ per mole of atoms



(3)
VASP calculation (PBE) on crystalline CoAg2Au at its relaxed geometry.

a = 4.5281 Å, b = 4.5281 Å, c = 4.5281 Å
α = 60.00°, β = 60.00°, γ = 60.00°
Positions (direct):
Co: 0.0000 0.0000 0.0000
Ag: 0.2500 0.2500 0.2500
Ag: 0.5000 0.5000 0.5000
Au: 0.7500 0.7500 0.7500

**ΔE_f**: 0.32 eV/atom
**Energy relative to the lowest polymorph listed for this composition**: 115 meV per atom



Copy entry 3 word for word.
VASP calculation (PBE) on crystalline CoAg2Au at its relaxed geometry.

a = 4.5281 Å, b = 4.5281 Å, c = 4.5281 Å
α = 60.00°, β = 60.00°, γ = 60.00°
Positions (direct):
Co: 0.0000 0.0000 0.0000
Ag: 0.2500 0.2500 0.2500
Ag: 0.5000 0.5000 0.5000
Au: 0.7500 0.7500 0.7500

**ΔE_f**: 0.32 eV/atom
**Energy relative to the lowest polymorph listed for this composition**: 115 meV per atom



Please write out number 2 again, unchanged.
VASP calculation (PBE) on crystalline LaInRhO6 at its relaxed geometry.

a = 5.4480 Å, b = 5.4480 Å, c = 5.1047 Å
α = 90.00°, β = 90.00°, γ = 120.00°
Positions (direct):
La: 0.0000 0.0000 0.0000
In: 0.3333 0.6667 0.5000
Rh: 0.6667 0.3333 0.5000
O: 0.3774 0.0299 0.7190
O: 0.3774 0.3476 0.2810
O: 0.6524 0.0299 0.2810
O: 0.6524 0.6226 0.7190
O: 0.9701 0.3476 0.7190
O: 0.9701 0.6226 0.2810

**Formation energy without anion corrections**: -148.03 kJ per mole of atoms